PBE-GGA PmY6Tm, optimized geometry; energy relative to the elements = 0.15 eV per atom; energy = -46.8 eV for the cell shown; mass density = 5.3 g/cm3; D(E_F) = 1.747 states/eV per atom
1.0
8.6146 0.5760 -0.4918
4.8059 8.3380 -0.3754
4.3288 3.2267 3.5699
Y Tm Pm
6 1 1
Cartesian
14.3175 10.8162 1.9473 Y
14.0421 7.0573 2.3380 Y
3.4317 1.3245 0.7553 Y
11.1493 8.7173 1.8083 Y
6.6000 3.4234 0.8944 Y
3.7071 5.0834 0.3647 Y
0.0000 0.0000 0.0000 Tm
8.8746 6.0703 1.3513 Pm